# BrF2 (GGA-PBE, optimized geometry)
data_BrF2
_cell_length_a 2.886
_cell_length_b 4.217
_cell_length_c 4.664
_cell_angle_alpha 79.35
_cell_angle_beta 73.36
_cell_angle_gamma 83.77
_space_group_name_H-M_alt 'P 1'
_space_group_IT_number 1
_space_group_name_Hall 'P 1'
loop_
_atom_site_label
_atom_site_fract_x
_atom_site_fract_y
_atom_site_fract_z
Br1 0.000 0.500 0.000
F1 0.184 0.220 0.713
F2 0.816 0.780 0.287
# E above lowest polymorph: 52 meV/atom
# Uncorrected formation energy: -720 meV per atom
# Size of the total moment: 0.0 μB per cell
# Energy: -2.5254 eV/atom
# ρ: 3.67 Mg/m³


# Br3F (GGA-PBE, optimized geometry)
data_Br3F
_cell_length_a 4.939
_cell_length_b 4.939
_cell_length_c 4.939
_cell_angle_alpha 60.00
_cell_angle_beta 60.00
_cell_angle_gamma 60.00
_space_group_name_H-M_alt 'P 1'
_space_group_IT_number 1
_space_group_name_Hall 'P 1'
loop_
_atom_site_label
_atom_site_fract_x
_atom_site_fract_y
_atom_site_fract_z
Br1 0.250 0.250 0.250
Br2 0.750 0.750 0.750
Br3 0.500 0.500 0.500
F1 0.000 0.000 0.000
# E above lowest polymorph: 371 meV/atom
# Uncorrected formation energy: 447 meV per atom
# Size of the total moment: 0.0 μB per cell
# Energy: -1.2754 eV/atom
# ρ: 5.04 Mg/m³


# BrF5 (GGA-PBE, optimized geometry)
data_BrF5
_cell_length_a 4.185
_cell_length_b 5.153
_cell_length_c 5.153
_cell_angle_alpha 80.51
_cell_angle_beta 66.04
_cell_angle_gamma 66.04
_space_group_name_H-M_alt 'P 1'
_space_group_IT_number 1
_space_group_name_Hall 'P 1'
loop_
_atom_site_label
_atom_site_fract_x
_atom_site_fract_y
_atom_site_fract_z
Br1 0.000 0.000 0.000
F1 0.933 0.334 0.801
F2 0.500 0.000 0.000
F3 0.067 0.666 0.199
F4 0.267 0.801 0.666
F5 0.733 0.199 0.334
# E above lowest polymorph: 101 meV/atom
# Uncorrected formation energy: -866 meV per atom
# Size of the total moment: 0.0 μB per cell
# Energy: -2.7039 eV/atom
# ρ: 3.13 Mg/m³


# BrF3 (GGA-PBE, optimized geometry)
data_BrF3
_cell_length_a 5.042
_cell_length_b 5.042
_cell_length_c 6.037
_cell_angle_alpha 90.00
_cell_angle_beta 90.00
_cell_angle_gamma 108.14
_space_group_name_H-M_alt 'P 1'
_space_group_IT_number 1
_space_group_name_Hall 'P 1'
loop_
_atom_site_label
_atom_site_fract_x
_atom_site_fract_y
_atom_site_fract_z
Br1 0.164 0.836 0.755
Br2 0.836 0.164 0.255
F1 0.272 0.728 0.494
F2 0.728 0.272 0.994
F3 0.358 0.642 0.902
F4 0.642 0.358 0.402
F5 0.945 0.055 0.579
F6 0.055 0.945 0.079
# E above lowest polymorph: 0 meV/atom
# Uncorrected formation energy: -911 meV per atom
# Size of the total moment: 0.0 μB per cell
# Energy: -2.7322 eV/atom
# ρ: 3.12 Mg/m³


# BrF3 (GGA-PBE, optimized geometry)
data_BrF3
_cell_length_a 3.960
_cell_length_b 3.960
_cell_length_c 7.675
_cell_angle_alpha 75.05
_cell_angle_beta 75.05
_cell_angle_gamma 90.00
_space_group_name_H-M_alt 'P 1'
_space_group_IT_number 1
_space_group_name_Hall 'P 1'
loop_
_atom_site_label
_atom_site_fract_x
_atom_site_fract_y
_atom_site_fract_z
Br1 0.000 0.000 0.000
Br2 0.750 0.250 0.500
F1 0.500 0.500 0.000
F2 0.250 0.750 0.500
F3 0.717 0.125 0.250
F4 0.033 0.625 0.250
F5 0.375 0.283 0.750
F6 0.875 0.967 0.750
# E above lowest polymorph: 814 meV/atom
# Uncorrected formation energy: -97 meV per atom
# Size of the total moment: 0.0 μB per cell
# Energy: -1.9187 eV/atom
# ρ: 4.06 Mg/m³


# Br3F (GGA-PBE, optimized geometry)
data_Br3F
_cell_length_a 4.681
_cell_length_b 4.681
_cell_length_c 9.582
_cell_angle_alpha 75.86
_cell_angle_beta 75.86
_cell_angle_gamma 90.00
_space_group_name_H-M_alt 'P 1'
_space_group_IT_number 1
_space_group_name_Hall 'P 1'
loop_
_atom_site_label
_atom_site_fract_x
_atom_site_fract_y
_atom_site_fract_z
Br1 0.633 0.125 0.250
Br2 0.117 0.625 0.250
Br3 0.375 0.367 0.750
Br4 0.875 0.883 0.750
Br5 0.000 0.000 0.000
Br6 0.750 0.250 0.500
F1 0.500 0.500 0.000
F2 0.250 0.750 0.500
# E above lowest polymorph: 241 meV/atom
# Uncorrected formation energy: 316 meV per atom
# Size of the total moment: 1.8 μB per cell
# Energy: -1.4061 eV/atom
# ρ: 4.36 Mg/m³


# Br3F (GGA-PBE, optimized geometry)
data_Br3F
_cell_length_a 8.942
_cell_length_b 8.942
_cell_length_c 8.942
_cell_angle_alpha 23.65
_cell_angle_beta 23.65
_cell_angle_gamma 23.65
_space_group_name_H-M_alt 'P 1'
_space_group_IT_number 1
_space_group_name_Hall 'P 1'
loop_
_atom_site_label
_atom_site_fract_x
_atom_site_fract_y
_atom_site_fract_z
Br1 0.000 0.000 0.000
Br2 0.905 0.905 0.905
Br3 0.095 0.095 0.095
F1 0.500 0.500 0.500
# E above lowest polymorph: 64 meV/atom
# Uncorrected formation energy: 140 meV per atom
# Size of the total moment: 0.7 μB per cell
# Energy: -1.5823 eV/atom
# ρ: 4.25 Mg/m³


# BrF5 (GGA-PBE, optimized geometry)
data_BrF5
_cell_length_a 5.177
_cell_length_b 5.177
_cell_length_c 7.601
_cell_angle_alpha 90.00
_cell_angle_beta 90.00
_cell_angle_gamma 95.47
_space_group_name_H-M_alt 'P 1'
_space_group_IT_number 1
_space_group_name_Hall 'P 1'
loop_
_atom_site_label
_atom_site_fract_x
_atom_site_fract_y
_atom_site_fract_z
Br1 0.170 0.830 0.755
Br2 0.830 0.170 0.255
F1 0.326 0.674 0.587
F2 0.674 0.326 0.087
F3 0.351 0.649 0.907
F4 0.649 0.351 0.407
F5 0.006 0.994 0.573
F6 0.994 0.006 0.073
F7 0.442 0.080 0.744
F8 0.558 0.920 0.244
F9 0.080 0.442 0.244
F10 0.920 0.558 0.744
# E above lowest polymorph: 0 meV/atom
# Uncorrected formation energy: -967 meV per atom
# Size of the total moment: 0.0 μB per cell
# Energy: -2.8052 eV/atom
# ρ: 2.86 Mg/m³


# BrF3 (GGA-PBE, optimized geometry)
data_BrF3
_cell_length_a 5.817
_cell_length_b 5.342
_cell_length_c 5.342
_cell_angle_alpha 101.98
_cell_angle_beta 90.00
_cell_angle_gamma 90.00
_space_group_name_H-M_alt 'P 1'
_space_group_IT_number 1
_space_group_name_Hall 'P 1'
loop_
_atom_site_label
_atom_site_fract_x
_atom_site_fract_y
_atom_site_fract_z
Br1 0.750 0.698 0.302
Br2 0.250 0.302 0.698
F1 0.250 0.090 0.910
F2 0.750 0.910 0.090
F3 0.250 0.568 0.984
F4 0.750 0.432 0.016
F5 0.250 0.016 0.432
F6 0.750 0.984 0.568
# E above lowest polymorph: 80 meV/atom
# Uncorrected formation energy: -831 meV per atom
# Size of the total moment: 0.0 μB per cell
# Energy: -2.6526 eV/atom
# ρ: 2.80 Mg/m³


# BrF3 (GGA-PBE, optimized geometry)
data_BrF3
_cell_length_a 8.556
_cell_length_b 8.556
_cell_length_c 8.556
_cell_angle_alpha 21.49
_cell_angle_beta 21.49
_cell_angle_gamma 21.49
_space_group_name_H-M_alt 'P 1'
_space_group_IT_number 1
_space_group_name_Hall 'P 1'
loop_
_atom_site_label
_atom_site_fract_x
_atom_site_fract_y
_atom_site_fract_z
Br1 0.000 0.000 0.000
F1 0.500 0.500 0.500
F2 0.926 0.926 0.926
F3 0.074 0.074 0.074
# E above lowest polymorph: 726 meV/atom
# Uncorrected formation energy: -184 meV per atom
# Size of the total moment: 1.1 μB per cell
# Energy: -2.0060 eV/atom
# ρ: 3.09 Mg/m³


# BrF2 (GGA-PBE, optimized geometry)
data_BrF2
_cell_length_a 4.542
_cell_length_b 4.954
_cell_length_c 6.561
_cell_angle_alpha 68.15
_cell_angle_beta 82.35
_cell_angle_gamma 83.59
_space_group_name_H-M_alt 'P 1'
_space_group_IT_number 1
_space_group_name_Hall 'P 1'
loop_
_atom_site_label
_atom_site_fract_x
_atom_site_fract_y
_atom_site_fract_z
Br1 0.482 0.722 0.820
Br2 0.813 0.312 0.111
F1 0.182 0.383 0.877
F2 0.496 0.272 0.320
F3 0.018 0.002 0.306
F4 0.748 0.999 0.772
# E above lowest polymorph: 0 meV/atom
# Uncorrected formation energy: -772 meV per atom
# Size of the total moment: 0.0 μB per cell
# Energy: -2.5770 eV/atom
# ρ: 2.89 Mg/m³


# Br3F (GGA-PBE, optimized geometry)
data_Br3F
_cell_length_a 3.542
_cell_length_b 3.864
_cell_length_c 8.381
_cell_angle_alpha 103.33
_cell_angle_beta 102.20
_cell_angle_gamma 90.00
_space_group_name_H-M_alt 'P 1'
_space_group_IT_number 1
_space_group_name_Hall 'P 1'
loop_
_atom_site_label
_atom_site_fract_x
_atom_site_fract_y
_atom_site_fract_z
Br1 0.500 0.667 0.000
Br2 0.654 0.821 0.308
Br3 0.346 0.513 0.692
F1 0.000 0.167 0.000
# E above lowest polymorph: 0 meV/atom
# Uncorrected formation energy: 76 meV per atom
# Size of the total moment: 0.0 μB per cell
# Energy: -1.6466 eV/atom
# ρ: 3.94 Mg/m³


Which value of uncorrected formation energy does entry 5 give? -97 meV per atom


Among the records above, which one has the highest energy? number 2


What is the energy in the fourth record? -2.7322 eV/atom


Which of these has the lowest uncorrected formation energy? number 8